# 1
First-principles (PBE) data for an optimized crystal structure of PuZrAlGa, as listed in the Alexandria database.

The space group is F-43m (No. 216) and the conventional cell measures 6.9367, 6.9367 and 6.9367 Å, with angles of 90.00, 90.00 and 90.00 degrees. Symmetry generates all atoms from Pu at (0.0000, 0.0000, 0.0000), Zr at (0.0000, 0.0000, 0.5000), Al at (0.2500, 0.2500, 0.7500) and Ga at (0.2500, 0.2500, 0.2500).

The calculation puts the density of states at the Fermi level at 29.58 states/eV per cell. The calculation puts the formation energy at -0.258 eV per atom. The magnetic moment is 1.447 μB/atom. For the final energy, the calculation gives -7.671 eV per atom.

# 2
First-principles (PBE) data for an optimized crystal structure of Ti2HgCl, as listed in the Alexandria database.

The space group is Fm-3m (No. 225) and the conventional cell measures 6.6146, 6.6146 and 6.6146 Å, with angles of 90.00, 90.00 and 90.00 degrees. Symmetry generates all atoms from Ti at (0.2500, 0.2500, 0.2500), Hg at (0.0000, 0.0000, 0.0000) and Cl at (0.0000, 0.0000, 0.5000).

The calculation puts the density of states at the Fermi level at 31.36 states/eV per cell. The energy above the most stable polymorph in this dataset is 0.000 eV/atom. The magnetic moment is 0.000 μB/atom. For the final energy, the calculation gives -4.397 eV per atom.

# 3
First-principles (PBE) data for an optimized crystal structure of KRbHg, as listed in the Alexandria database.

The space group is P-1 (No. 2) and the conventional cell measures 5.1945, 7.2905 and 9.1760 Å, with angles of 100.99, 106.29 and 90.02 degrees. Symmetry generates all atoms from K at (0.0866, 0.2919, 0.1692), Rb at (0.3467, 0.1693, 0.6944) and Hg at (0.2683, 0.6218, 0.5381).

The calculation puts the density of states at the Fermi level at 3.82 states/eV per cell. The calculation puts the formation energy at -0.170 eV per atom. The energy above the most stable polymorph in this dataset is 0.000 eV/atom. The magnetic moment is 0.000 μB/atom. For the final energy, the calculation gives -0.959 eV per atom.

# 4
First-principles (PBE) data for an optimized crystal structure of VReAsBr2, as listed in the Alexandria database.

The space group is P4/mmm (No. 123) and the conventional cell measures 4.8408, 4.8408 and 5.3333 Å, with angles of 90.00, 90.00 and 90.00 degrees. Symmetry generates all atoms from V at (0.0000, 0.0000, 0.0000), Re at (0.5000, 0.5000, 0.5000), As at (0.0000, 0.0000, 0.5000) and Br at (0.0000, 0.5000, 0.0000).

The calculation puts the density of states at the Fermi level at 5.88 states/eV per cell. The energy above the most stable polymorph in this dataset is 0.117 eV/atom. The magnetic moment is 0.520 μB/atom. For the final energy, the calculation gives -4.805 eV per atom.